Compound: Ba2GeIrO6
Source: Alexandria
Functional: PBE
Structure: optimized geometry

* total DFT energy (no corrections): -64.5 eV/cell
* SG: Fm-3m, No. 225
* crystal system: cubic
* formation energy (no corrections): -167.75 kJ per mole of atoms

Lattice parameters (Å, degrees): 5.696 5.696 5.696 60.01 60.01 90.02
Atoms (fractional coordinates):
O: 0.257 0.258 0.000
Ge: 0.500 0.500 0.000
Ba: 0.250 0.750 0.500
O: 0.258 0.743 0.000
O: 0.257 0.257 0.485
O: 0.742 0.257 0.000
Ba: 0.750 0.250 0.500
Ir: 0.000 0.000 0.000
O: 0.743 0.742 0.000
O: 0.743 0.743 0.515

Compound: BaMn2Te
Source: Alexandria
Functional: PBE
Structure: optimized geometry

* total DFT energy (no corrections): -21.7 eV/cell
* SG: F-43m, No. 216
* crystal system: cubic
* formation energy (no corrections): 40.62 kJ per mole of atoms

Lattice parameters (Å, degrees): 5.424 5.424 5.424 60.00 60.00 60.00
Atoms (fractional coordinates):
Mn: 0.250 0.250 0.250
Mn: 0.000 0.000 0.000
Ba: 0.500 0.500 0.500
Te: 0.750 0.750 0.750

Compound: Li2UCdCl8
Source: Alexandria
Functional: PBE
Structure: optimized geometry

* total DFT energy (no corrections): -49.4 eV/cell
* SG: P2/m, No. 10
* crystal system: monoclinic
* formation energy (no corrections): -149.77 kJ per mole of atoms

Lattice parameters (Å, degrees): 6.395 6.280 7.907 90.00 90.00 96.32
Atoms (fractional coordinates):
Li: 0.500 0.500 0.772
Cl: 0.819 0.209 0.260
Cl: 0.688 0.710 0.000
Cl: 0.819 0.209 0.740
Cl: 0.181 0.791 0.740
Cl: 0.181 0.791 0.260
Cl: 0.312 0.290 0.000
Cl: 0.678 0.704 0.500
Li: 0.500 0.500 0.228
Cd: 0.000 0.000 0.000
Cl: 0.322 0.296 0.500
U: 0.000 0.000 0.500

Compound: HfHSe2F
Source: Alexandria
Functional: PBE
Structure: optimized geometry

* total DFT energy (no corrections): -26.4 eV/cell
* SG: P4/mmm, No. 123
* crystal system: tetragonal

Lattice parameters (Å, degrees): 5.173 4.146 5.173 90.00 90.00 90.00
Atoms (fractional coordinates):
Hf: 0.000 0.000 0.000
Se: 0.500 0.000 0.000
Se: 0.000 0.000 0.500
H: 0.500 0.500 0.500
F: 0.000 0.500 0.000

Compound: Cs2InAs2
Source: Alexandria
Functional: PBE
Structure: optimized geometry

* total DFT energy (no corrections): -31.3 eV/cell
* energy relative to the elements: -0.377 eV/atom
* SG: C2/m, No. 12
* crystal system: monoclinic

Lattice parameters (Å, degrees): 4.814 8.178 10.316 92.27 76.51 72.88
Atoms (fractional coordinates):
As: 0.891 0.789 0.430
In: 0.344 0.953 0.358
Cs: 0.089 0.739 0.084
As: 0.397 0.093 0.113
Cs: 0.911 0.261 0.916
As: 0.109 0.211 0.570
As: 0.603 0.907 0.887
Cs: 0.343 0.643 0.672
In: 0.656 0.047 0.642
Cs: 0.657 0.357 0.328

Compound: LiZrOs2
Source: Alexandria
Functional: PBE
Structure: optimized geometry

* total DFT energy (no corrections): -31.9 eV/cell
* energy relative to the elements: 0.258 eV/atom
* SG: R-3m, No. 166
* crystal system: trigonal

Lattice parameters (Å, degrees): 9.603 9.603 9.603 16.58 16.58 16.58
Atoms (fractional coordinates):
Li: 0.750 0.750 0.750
Os: 0.496 0.496 0.496
Zr: 0.250 0.250 0.250
Os: 0.004 0.004 0.004